# Dy3Tm2Sc5

Crystalline Dy3Tm2Sc5 at its relaxed geometry (PBE-GGA, Alexandria via LeMat-Bulk).

a = 8.952 Å, b = 8.963 Å, c = 8.966 Å
α = 115.21°, β = 106.59°, γ = 106.69°
Space group P-1 (No. 2)
One atom of each set of equivalent atoms:
1 Dy 0.153 0.176 0.230 [2 per cell]
2 Dy 0.252 0.631 0.381 [2 per cell]
3 Dy 0.254 0.124 0.870 [2 per cell]
4 Tm 0.053 0.726 0.076 [2 per cell]
5 Tm 0.446 0.523 0.681 [2 per cell]
6 Sc 0.048 0.224 0.575 [2 per cell]
7 Sc 0.152 0.674 0.725 [2 per cell]
8 Sc 0.348 0.576 0.024 [2 per cell]
9 Sc 0.352 0.074 0.527 [2 per cell]
10 Sc 0.451 0.021 0.173 [2 per cell]

Results
energy	-5.385	eV per atom
spin magnetization	0.000	μB per cell